{
  "formula": "TePd3S",
  "functional": "PBE-GGA",
  "state": "optimized geometry",
  "density_g_cm3": 6.5,
  "relative_energy_ev_per_fu": 4.480,
  "raw_formation_energy_mev_per_atom": 667,
  "lattice_angstrom": [[4.959, 0.000, 0.000], [0.000, 4.959, 0.000], [0.000, 0.000, 4.959]],
  "species": ["Te", "Pd", "Pd", "Pd", "S"],
  "frac_coords": [[0.000, 0.000, 0.000], [0.000, 0.000, 0.500], [0.000, 0.500, 0.000], [0.500, 0.000, 0.000], [0.500, 0.500, 0.500]]
}

---

{
  "formula": "Na2MnCrW",
  "functional": "PBE-GGA",
  "state": "optimized geometry",
  "density_g_cm3": 6.0,
  "e_form_mev_per_atom": 2283,
  "lattice_angstrom": [[4.773, 0.000, 0.000], [0.000, 4.773, 0.000], [0.000, 0.000, 4.121]],
  "species": ["Na", "Na", "Mn", "Cr", "W"],
  "frac_coords": [[0.000, 0.500, 0.000], [0.500, 0.000, 0.000], [0.000, 0.000, 0.500], [0.000, 0.000, 0.000], [0.500, 0.500, 0.500]]
}

---

Number 1: spin magnetization 0.0 μB/cell, final energy -3.90 eV per atom. Number 2: spin magnetization 2.7 μB/cell, final energy -4.59 eV per atom.